No. 1
Nd2Y7Tm | PBE | relaxed

abc: 6.197 7.171 8.002
angles: 102.89 97.28 106.71
Positions (direct):
Nd: 0.102 0.201 0.199
Nd: 0.898 0.799 0.801
Y: 0.100 0.700 0.199
Y: 0.300 0.101 0.600
Y: 0.300 0.599 0.600
Y: 0.500 0.000 0.000
Y: 0.700 0.401 0.400
Y: 0.700 0.899 0.400
Y: 0.900 0.300 0.801
Tm: 0.500 0.500 0.000

Summary:
The value obtained for the energy of formation is 0.21 eV/f.u.


No. 2
Cd2AsPt | PBE | relaxed

abc: 4.271 4.271 4.161
angles: 90.00 90.00 90.00
Positions (direct):
Cd: 0.000 0.500 0.000
Cd: 0.500 0.000 0.000
As: 0.000 0.000 0.500
Pt: 0.500 0.500 0.500

Summary:
The value obtained for the energy of formation is -0.20 eV/f.u.


No. 3
Sm9AlIn2 | PBE | relaxed

abc: 4.908 4.908 14.719
angles: 90.00 90.00 90.00
Positions (direct):
Sm: 0.000 0.000 0.000
Sm: 0.000 0.000 0.331
Sm: 0.000 0.000 0.669
Sm: 0.000 0.500 0.162
Sm: 0.000 0.500 0.500
Sm: 0.000 0.500 0.838
Sm: 0.500 0.000 0.162
Sm: 0.500 0.000 0.500
Sm: 0.500 0.000 0.838
Al: 0.500 0.500 0.000
In: 0.500 0.500 0.332
In: 0.500 0.500 0.668

Summary:
The value obtained for the energy of formation is -2.84 eV/f.u.


No. 4
KCo2Pb | PBE | relaxed

abc: 4.466 4.466 6.672
angles: 109.76 109.76 59.94
Positions (direct):
K: 0.000 0.000 0.000
Co: 0.171 0.171 0.514
Co: 0.829 0.829 0.486
Pb: 0.500 0.500 0.500

Summary:
The value obtained for the energy of formation is 1.62 eV/f.u.


No. 5
Be2Co2Au | PBE | relaxed

abc: 6.155 6.155 2.817
angles: 90.00 90.00 90.00
Positions (direct):
Be: 0.126 0.374 0.000
Be: 0.374 0.874 0.000
Be: 0.626 0.126 0.000
Be: 0.874 0.626 0.000
Co: 0.159 0.659 0.500
Co: 0.341 0.159 0.500
Co: 0.659 0.841 0.500
Co: 0.841 0.341 0.500
Au: 0.000 0.000 0.000
Au: 0.500 0.500 0.000

Summary:
The value obtained for the energy of formation is -0.37 eV/f.u.